1.
# K2HgTe2

An optimized crystal structure of K2HgTe2 (PBE, the Alexandria database).

a = 10.272 Å, b = 10.272 Å, c = 10.272 Å
α = 154.23°, β = 154.23°, γ = 36.77°
Sites, in units of the cell vectors:
K1 0.113 0.113 0.000
K2 0.887 0.887 0.000
Hg1 0.500 0.500 0.000
Te1 0.250 0.750 0.500
Te2 0.750 0.250 0.500

Values from the calculation:
Formation energy from raw total energies in eV per atom: -0.42
Space-group type: I4/mmm (139)

=====

2.
# IrC4

An optimized crystal structure of IrC4 (PBE, the Alexandria database).

a = 4.431 Å, b = 4.431 Å, c = 4.431 Å
α = 107.76°, β = 107.76°, γ = 112.96°
Sites, in units of the cell vectors:
Ir1 0.000 0.000 0.000
C1 0.000 0.375 0.375
C2 0.000 0.625 0.625
C3 0.375 0.000 0.375
C4 0.625 0.000 0.625

Values from the calculation:
Energy of formation from the pure elements in eV/atom: 1.62
Space-group type: I4/mmm (139)

=====

3.
# CeTh3

An optimized crystal structure of CeTh3 (PBE, the Alexandria database).

a = 4.972 Å, b = 4.972 Å, c = 4.972 Å
α = 90.00°, β = 90.00°, γ = 90.00°
Sites, in units of the cell vectors:
Ce1 0.000 0.000 0.000
Th1 0.000 0.500 0.500
Th2 0.500 0.000 0.500
Th3 0.500 0.500 0.000

Values from the calculation:
Energy of formation from the pure elements in eV/atom: 0.02
Space-group type: Pm-3m (221)

=====

4.
# MnBeAg2

An optimized crystal structure of MnBeAg2 (PBE, the Alexandria database).

a = 5.151 Å, b = 5.151 Å, c = 4.483 Å
α = 115.59°, β = 115.59°, γ = 34.05°
Sites, in units of the cell vectors:
Mn1 0.000 0.000 0.000
Be1 0.500 0.500 0.500
Ag1 0.214 0.214 0.714
Ag2 0.786 0.786 0.286

Values from the calculation:
Energy of formation from the pure elements in eV/atom: 0.28
Space-group type: C2/m (12)

=====

Energy / eV per atom: -2.176, -7.536, -7.031, -4.369